[1]
Material: Cr3WF
Method: DFT, PBE with a Hubbard U
State: optimized geometry

The structure in POSCAR format:
```
Cr3WF
1.0
5.123 0.000 0.000
0.000 5.123 0.000
0.000 0.000 5.123
Cr W F
3 1 1
Cartesian
0.000 0.000 2.562 Cr
0.000 2.562 0.000 Cr
2.562 0.000 0.000 Cr
0.000 0.000 0.000 W
2.562 2.562 2.562 F
```

## Properties
SG: Pm-3m (221)
Total magnetic moment: 10.49 μB per cell
Offset from the most stable computed form: 910 meV per atom

[2]
Material: Cr2WF8
Method: DFT, PBE with a Hubbard U
State: optimized geometry

The structure in POSCAR format:
```
Cr2WF8
1.0
4.154 0.000 0.000
0.209 6.154 0.000
0.276 2.308 6.010
Cr W F
2 1 8
Cartesian
1.091 1.090 0.703 Cr
3.548 7.371 5.307 Cr
2.319 4.231 3.005 W
1.197 2.857 2.115 F
1.471 7.519 5.371 F
1.322 5.795 2.220 F
1.385 4.275 4.855 F
3.253 4.187 1.155 F
3.316 2.667 3.791 F
3.167 0.943 0.640 F
3.442 5.605 3.895 F
```

## Properties
SG: P-1 (2)
Raw total energy: -0.4371 Ry per atom
Total magnetic moment: 10.00 μB per cell

[3]
Material: Cr4WF12
Method: DFT, PBE with a Hubbard U
State: optimized geometry

The structure in POSCAR format:
```
Cr4WF12
1.0
-3.776 4.208 4.232
3.776 -4.208 4.232
3.776 4.208 -4.232
Cr W F
4 1 12
Cartesian
1.888 2.104 -2.116 Cr
1.888 -2.104 2.116 Cr
-1.888 2.104 2.116 Cr
1.888 2.104 2.116 Cr
0.000 0.000 0.000 W
3.776 -1.675 1.694 F
2.531 4.208 -2.492 F
1.246 1.734 0.000 F
1.245 0.000 1.739 F
2.530 -2.474 4.232 F
3.776 1.675 1.694 F
0.000 2.533 2.537 F
1.246 6.682 0.000 F
2.531 4.208 2.492 F
2.530 2.474 4.232 F
1.245 0.000 6.724 F
0.000 5.884 2.537 F
```

## Properties
SG: Immm (71)
Raw total energy: -0.4459 Ry per atom
Total magnetic moment: 18.00 μB per cell